# 1
The following is a DFT calculation (GGA-PBE) of a relaxed Ac2PrSmP4 crystal.

```
Ac2PrSmP4
1.0
4.302 0.000 0.000
0.000 7.463 -0.156
0.000 2.618 6.970
Ac Pr Sm P
2 1 1 4
Direct
0.000 0.000 0.000
0.500 0.000 0.500
0.500 0.500 0.000
0.000 0.500 0.500
0.000 0.736 0.752
0.000 0.264 0.248
0.500 0.735 0.257
0.500 0.265 0.743
```

space-group type = P2/m
calculated formation energy = -11.9 eV/f.u.

=====

# 2
The following is a DFT calculation (GGA-PBE) of a relaxed AcPr2SmP4 crystal.

```
AcPr2SmP4
1.0
4.246 0.000 0.000
0.000 7.349 -0.150
0.000 2.581 6.885
Ac Pr Sm P
1 2 1 4
Direct
0.500 0.500 0.000
0.000 0.000 0.000
0.500 0.000 0.500
0.000 0.500 0.500
0.000 0.756 0.740
0.000 0.244 0.260
0.500 0.750 0.257
0.500 0.250 0.743
```

space-group type = P2/m
calculated formation energy = -11.9 eV/f.u.

=====

# 3
The following is a DFT calculation (GGA-PBE) of a relaxed Ac2TbPrP4 crystal.

```
Ac2TbPrP4
1.0
4.284 0.000 0.000
0.000 7.429 -0.155
0.000 2.607 6.939
Ac Tb Pr P
2 1 1 4
Direct
0.000 0.000 0.000
0.500 0.000 0.500
0.000 0.500 0.500
0.500 0.500 0.000
0.000 0.735 0.750
0.000 0.265 0.250
0.500 0.732 0.261
0.500 0.268 0.739
```

space-group type = P2/m
calculated formation energy = -11.8 eV/f.u.

=====

# 4
The following is a DFT calculation (GGA-PBE) of a relaxed AcTb2PrP4 crystal.

```
AcTb2PrP4
1.0
4.180 0.000 0.000
0.000 7.239 -0.146
0.000 2.544 6.780
Ac Tb Pr P
1 2 1 4
Direct
0.500 0.500 0.000
0.000 0.000 0.000
0.500 0.000 0.500
0.000 0.500 0.500
0.000 0.768 0.739
0.000 0.232 0.261
0.500 0.764 0.250
0.500 0.236 0.750
```

space-group type = P2/m
calculated formation energy = -12.1 eV/f.u.